Record 1
## La3Rh2 (PBE-GGA)

Data for a relaxed La3Rh2 crystal. Values from VASP.

Excess energy over the best structure of this formula in the dataset (eV per atom): 0.045
Formation energy from the elements (kJ per mole of atoms): -60
Electronic total energy (eV/atom): -6.5225

```
&SYSTEM
  ibrav = 0, nat = 5, ntyp = 2
/
ATOMIC_SPECIES
Rh 102.91 Rh.upf
La 138.91 La.upf
CELL_PARAMETERS angstrom
-3.146 -0.026 -2.737
-1.995 -8.486 5.550
-3.407 2.295 0.717
ATOMIC_POSITIONS angstrom
Rh -2.929 -0.621 0.195
Rh -5.619 -5.597 3.334
La -2.829 -5.233 3.301
La 0.000 0.000 0.000
La -5.719 -0.985 0.228
```

***

Record 2
## SnSb (PBE-GGA)

Data for a relaxed SnSb crystal. Values from VASP.

E_form (uncorrected) (eV/atom): 0.001
Electronic total energy (eV/atom): -4.0619

```
&SYSTEM
  ibrav = 0, nat = 8, ntyp = 2
/
ATOMIC_SPECIES
Sn 118.71 Sn.upf
Sb 121.76 Sb.upf
CELL_PARAMETERS angstrom
-2.101 -2.224 -5.258
-4.812 -3.279 3.309
-3.642 4.775 -0.565
ATOMIC_POSITIONS angstrom
Sn -8.393 -0.672 0.119
Sn -2.162 -0.055 -2.632
Sn -3.517 -0.582 1.652
Sn -4.937 2.079 1.093
Sb -6.293 0.758 -1.325
Sb -5.617 -2.013 3.096
Sb -4.261 -1.486 -1.188
Sb -2.837 3.510 -0.351
```

***

Record 3
## LaTbDy2S6 (PBE-GGA)

Data for a relaxed LaTbDy2S6 crystal. Values from VASP.

E_form (uncorrected) (eV/atom): -2.080
Electronic total energy (eV/atom): -6.4328

```
&SYSTEM
  ibrav = 0, nat = 10, ntyp = 4
/
ATOMIC_SPECIES
S 32.06 S.upf
Dy 162.50 Dy.upf
La 138.91 La.upf
Tb 158.93 Tb.upf
CELL_PARAMETERS angstrom
-5.557 0.369 4.298
-6.223 -2.546 -2.069
-2.456 -6.251 3.119
ATOMIC_POSITIONS angstrom
S -5.042 -5.613 2.127
S -6.723 -4.762 5.146
S -7.525 -3.779 -0.157
S -8.498 -6.367 2.512
S -9.518 -2.775 3.411
S -5.430 -1.881 2.960
Dy -7.200 -3.907 2.542
Dy -2.520 -6.012 3.016
La -10.930 -5.370 3.602
Tb -3.846 -1.030 0.874
```

***

Record 4
## LiPF2 (PBE-GGA)

Data for a relaxed LiPF2 crystal. Values from VASP.

E_form (uncorrected) (eV/atom): -1.193
Excess energy over the best structure of this formula in the dataset (eV per atom): 0.714
Electronic total energy (eV/atom): -3.9594

```
&SYSTEM
  ibrav = 0, nat = 4, ntyp = 3
/
ATOMIC_SPECIES
F 19.00 F.upf
Li 6.94 Li.upf
P 30.97 P.upf
CELL_PARAMETERS angstrom
1.620 0.000 7.229
-0.810 1.403 7.229
-0.810 -1.403 7.229
ATOMIC_POSITIONS angstrom
F 0.000 0.000 1.688
F 0.000 0.000 20.001
Li 0.000 0.000 0.000
P 0.000 0.000 10.844
```

***

Record 5
## La2CdSi (PBE-GGA)

Data for a relaxed La2CdSi crystal. Values from VASP.

E_form (uncorrected) (eV/atom): -0.354
Electronic total energy (eV/atom): -4.4023

```
&SYSTEM
  ibrav = 0, nat = 4, ntyp = 3
/
ATOMIC_SPECIES
Cd 112.41 Cd.upf
La 138.91 La.upf
Si 28.09 Si.upf
CELL_PARAMETERS angstrom
-2.978 -1.649 -2.783
-3.709 -1.778 1.554
-5.785 5.933 -0.799
ATOMIC_POSITIONS angstrom
Cd -3.118 0.626 -0.507
La -5.623 5.610 -0.781
La -6.398 1.577 -1.032
Si -9.354 1.879 -1.521
```

***

Record 6
## LiYTcAg2 (PBE-GGA)

Data for a relaxed LiYTcAg2 crystal. Values from VASP.

Formation energy from the elements (kJ per mole of atoms): 66
Electronic total energy (eV/atom): -4.2084

```
&SYSTEM
  ibrav = 0, nat = 5, ntyp = 4
/
ATOMIC_SPECIES
Ag 107.87 Ag.upf
Li 6.94 Li.upf
Tc 98.00 Tc.upf
Y 88.91 Y.upf
CELL_PARAMETERS angstrom
5.255 0.000 0.000
0.000 4.946 0.000
0.000 0.000 5.255
ATOMIC_POSITIONS angstrom
Ag 0.000 0.000 2.628
Ag 2.628 0.000 0.000
Li 2.628 2.473 2.628
Tc 0.000 0.000 0.000
Y 0.000 2.473 0.000
```

***

no.,magnetization (μB per atom),density of states at the Fermi level (states/eV per cell),V (Å³ per atom)
1,0.00,3.7,30.269
2,0.00,3.6,30.720
3,0.00,0.0,26.534
4,0.00,0.8,12.330
5,0.17,4.9,33.198
6,0.12,3.9,27.323